Density functional theory data (PBE) for a relaxed structure of IrAu.

Lattice parameters (Å, degrees): 2.7978 2.7978 4.7349 90.00 90.00 120.00
Site moments in Bohr magnetons follow the coordinates.
Element x y z (fractional)
Au 0.6667 0.3333 0.7500  0.05
Ir 0.3333 0.6667 0.2500  0.39

* size of the total moment: 0.4 μB per formula unit
* energy relative to the lowest polymorph listed for this composition: 0 meV/atom
* formation energy: 0.435 eV/atom